Entry from Alexandria via LeMat-Bulk: an optimized crystal structure of Rb3NbZn (PBE).

Cell: 7.147 7.147 7.147 Å, 90.00 90.00 90.00°
Atoms (fractional coordinates):
Rb: 0.000 0.000 0.500
Rb: 0.000 0.500 0.000
Rb: 0.500 0.000 0.000
Nb: 0.000 0.000 0.000
Zn: 0.500 0.500 0.500

The calculation puts the offset from the most stable computed form at 0 meV per atom. The magnetic moment comes out at 5.98 Bohr magnetons per cell.